The following is a PBE calculation of Tl2PPt after structural relaxation, from the Alexandria database.

Output
DFT formation energy = 0.4080 eV per atom
E above lowest polymorph = 505 meV/atom
crystal system = orthorhombic

Lattice parameters (Å, degrees): 4.211 4.861 8.302 90.00 90.00 90.00
Space group Cmmm (No. 65)
Unique sites:
Tl  0.000  0.000  0.242 (multiplicity 4)
P  0.000  0.500  0.500 (multiplicity 2)
Pt  0.000  0.500  0.000 (multiplicity 2)